# 1
# CdSbIN2 | Alexandria via LeMat-Bulk | PBE | relaxed
data_CdSbIN2
_space_group_name_H-M_alt 'P 1'
_space_group_IT_number 1
_cell_length_a 4.1326
_cell_length_b 4.1326
_cell_length_c 7.0679
_cell_angle_alpha 90.00
_cell_angle_beta 90.00
_cell_angle_gamma 90.00
loop_
_space_group_symop_operation_xyz
'x,y,z'
loop_
_atom_site_label
_atom_site_type_symbol
_atom_site_fract_x
_atom_site_fract_y
_atom_site_fract_z
Cd1 Cd 0.0000 0.0000 0.0000
Sb1 Sb 0.5000 0.5000 0.5000
I1 I 0.5000 0.5000 0.0000
N1 N 0.0000 0.5000 0.5000
N2 N 0.5000 0.0000 0.5000
# symmetry	No. 123
# uncorrected formation energy	5.682	eV per formula unit
# energy relative to the lowest polymorph listed for this composition	0.000	eV/atom
# DOS(E_F)	4.10	states/eV per cell
# VASP energy	-3.51	eV per atom
# crystal system	tetragonal

# 2
# CdSbI2N | Alexandria via LeMat-Bulk | PBE | relaxed
data_CdSbI2N
_space_group_name_H-M_alt 'P 1'
_space_group_IT_number 1
_cell_length_a 6.2674
_cell_length_b 6.2674
_cell_length_c 3.9935
_cell_angle_alpha 90.00
_cell_angle_beta 90.00
_cell_angle_gamma 90.00
loop_
_space_group_symop_operation_xyz
'x,y,z'
loop_
_atom_site_label
_atom_site_type_symbol
_atom_site_fract_x
_atom_site_fract_y
_atom_site_fract_z
Cd1 Cd 0.0000 0.0000 0.0000
Sb1 Sb 0.5000 0.5000 0.5000
I1 I 0.0000 0.5000 0.5000
I2 I 0.5000 0.0000 0.5000
N1 N 0.5000 0.5000 0.0000
# symmetry	No. 123
# uncorrected formation energy	2.665	eV per formula unit
# energy relative to the lowest polymorph listed for this composition	0.000	eV/atom
# DOS(E_F)	3.07	states/eV per cell
# VASP energy	-2.76	eV per atom
# crystal system	tetragonal

# 3
# CdSb2IN | Alexandria via LeMat-Bulk | PBE | relaxed
data_CdSb2IN
_space_group_name_H-M_alt 'P 1'
_space_group_IT_number 1
_cell_length_a 5.5527
_cell_length_b 5.5527
_cell_length_c 5.6588
_cell_angle_alpha 90.00
_cell_angle_beta 90.00
_cell_angle_gamma 90.00
loop_
_space_group_symop_operation_xyz
'x,y,z'
loop_
_atom_site_label
_atom_site_type_symbol
_atom_site_fract_x
_atom_site_fract_y
_atom_site_fract_z
Cd1 Cd 0.0000 0.0000 0.0000
Sb1 Sb 0.0000 0.5000 0.0000
Sb2 Sb 0.5000 0.0000 0.0000
I1 I 0.0000 0.0000 0.5000
N1 N 0.5000 0.5000 0.5000
# symmetry	No. 123
# uncorrected formation energy	9.318	eV per formula unit
# energy relative to the lowest polymorph listed for this composition	1.121	eV/atom
# DOS(E_F)	11.07	states/eV per cell
# VASP energy	-1.94	eV per atom
# crystal system	tetragonal

# 4
# CdSbI2N | Alexandria via LeMat-Bulk | PBE | relaxed
data_CdSbI2N
_space_group_name_H-M_alt 'P 1'
_space_group_IT_number 1
_cell_length_a 4.9681
_cell_length_b 4.9681
_cell_length_c 5.0742
_cell_angle_alpha 90.00
_cell_angle_beta 90.00
_cell_angle_gamma 90.00
loop_
_space_group_symop_operation_xyz
'x,y,z'
loop_
_atom_site_label
_atom_site_type_symbol
_atom_site_fract_x
_atom_site_fract_y
_atom_site_fract_z
Cd1 Cd 0.0000 0.0000 0.0000
Sb1 Sb 0.5000 0.5000 0.0000
I1 I 0.0000 0.5000 0.5000
I2 I 0.5000 0.0000 0.5000
N1 N 0.5000 0.5000 0.5000
# symmetry	No. 123
# uncorrected formation energy	4.028	eV per formula unit
# energy relative to the lowest polymorph listed for this composition	0.272	eV/atom
# DOS(E_F)	2.85	states/eV per cell
# VASP energy	-2.49	eV per atom
# crystal system	tetragonal

# 5
# CdSbI2N | Alexandria via LeMat-Bulk | PBE | relaxed
data_CdSbI2N
_space_group_name_H-M_alt 'P 1'
_space_group_IT_number 1
_cell_length_a 6.0916
_cell_length_b 6.0916
_cell_length_c 4.1743
_cell_angle_alpha 90.00
_cell_angle_beta 90.00
_cell_angle_gamma 90.00
loop_
_space_group_symop_operation_xyz
'x,y,z'
loop_
_atom_site_label
_atom_site_type_symbol
_atom_site_fract_x
_atom_site_fract_y
_atom_site_fract_z
Cd1 Cd 0.0000 0.0000 0.0000
Sb1 Sb 0.5000 0.5000 0.5000
I1 I 0.0000 0.5000 0.0000
I2 I 0.5000 0.0000 0.0000
N1 N 0.0000 0.0000 0.5000
# symmetry	No. 123
# uncorrected formation energy	4.227	eV per formula unit
# energy relative to the lowest polymorph listed for this composition	0.312	eV/atom
# DOS(E_F)	4.12	states/eV per cell
# VASP energy	-2.45	eV per atom
# crystal system	tetragonal

# 6
# ScCdIN2 | Alexandria via LeMat-Bulk | PBE | relaxed
data_ScCdIN2
_space_group_name_H-M_alt 'P 1'
_space_group_IT_number 1
_cell_length_a 4.1926
_cell_length_b 4.1926
_cell_length_c 6.1808
_cell_angle_alpha 90.00
_cell_angle_beta 90.00
_cell_angle_gamma 90.00
loop_
_space_group_symop_operation_xyz
'x,y,z'
loop_
_atom_site_label
_atom_site_type_symbol
_atom_site_fract_x
_atom_site_fract_y
_atom_site_fract_z
Sc1 Sc 0.0000 0.0000 0.0000
Cd1 Cd 0.5000 0.5000 0.5000
I1 I 0.0000 0.0000 0.5000
N1 N 0.0000 0.5000 0.0000
N2 N 0.5000 0.0000 0.0000
# symmetry	No. 123
# uncorrected formation energy	2.676	eV per formula unit
# energy relative to the lowest polymorph listed for this composition	0.000	eV/atom
# DOS(E_F)	3.75	states/eV per cell
# VASP energy	-4.55	eV per atom
# crystal system	tetragonal

# 7
# ScCdIN2 | Alexandria via LeMat-Bulk | PBE | relaxed
data_ScCdIN2
_space_group_name_H-M_alt 'P 1'
_space_group_IT_number 1
_cell_length_a 4.3093
_cell_length_b 4.3093
_cell_length_c 5.8052
_cell_angle_alpha 90.00
_cell_angle_beta 90.00
_cell_angle_gamma 90.00
loop_
_space_group_symop_operation_xyz
'x,y,z'
loop_
_atom_site_label
_atom_site_type_symbol
_atom_site_fract_x
_atom_site_fract_y
_atom_site_fract_z
Sc1 Sc 0.0000 0.0000 0.0000
Cd1 Cd 0.5000 0.5000 0.5000
I1 I 0.5000 0.5000 0.0000
N1 N 0.0000 0.5000 0.5000
N2 N 0.5000 0.0000 0.5000
# symmetry	No. 123
# uncorrected formation energy	6.606	eV per formula unit
# energy relative to the lowest polymorph listed for this composition	0.786	eV/atom
# DOS(E_F)	3.74	states/eV per cell
# VASP energy	-3.77	eV per atom
# crystal system	tetragonal

# 8
# ScCdI2N | Alexandria via LeMat-Bulk | PBE | relaxed
data_ScCdI2N
_space_group_name_H-M_alt 'P 1'
_space_group_IT_number 1
_cell_length_a 5.9862
_cell_length_b 5.9862
_cell_length_c 4.0027
_cell_angle_alpha 90.00
_cell_angle_beta 90.00
_cell_angle_gamma 90.00
loop_
_space_group_symop_operation_xyz
'x,y,z'
loop_
_atom_site_label
_atom_site_type_symbol
_atom_site_fract_x
_atom_site_fract_y
_atom_site_fract_z
Sc1 Sc 0.0000 0.0000 0.0000
Cd1 Cd 0.5000 0.5000 0.5000
I1 I 0.0000 0.5000 0.0000
I2 I 0.5000 0.0000 0.0000
N1 N 0.0000 0.0000 0.5000
# symmetry	No. 123
# uncorrected formation energy	-0.853	eV per formula unit
# energy relative to the lowest polymorph listed for this composition	0.000	eV/atom
# DOS(E_F)	3.67	states/eV per cell
# VASP energy	-3.91	eV per atom
# crystal system	tetragonal

# 9
# ScCdI2N | Alexandria via LeMat-Bulk | PBE | relaxed
data_ScCdI2N
_space_group_name_H-M_alt 'P 1'
_space_group_IT_number 1
_cell_length_a 5.9561
_cell_length_b 5.9561
_cell_length_c 4.0449
_cell_angle_alpha 90.00
_cell_angle_beta 90.00
_cell_angle_gamma 90.00
loop_
_space_group_symop_operation_xyz
'x,y,z'
loop_
_atom_site_label
_atom_site_type_symbol
_atom_site_fract_x
_atom_site_fract_y
_atom_site_fract_z
Sc1 Sc 0.0000 0.0000 0.0000
Cd1 Cd 0.5000 0.5000 0.5000
I1 I 0.0000 0.5000 0.5000
I2 I 0.5000 0.0000 0.5000
N1 N 0.5000 0.5000 0.0000
# symmetry	No. 123
# uncorrected formation energy	3.295	eV per formula unit
# energy relative to the lowest polymorph listed for this composition	0.830	eV/atom
# DOS(E_F)	10.47	states/eV per cell
# VASP energy	-3.08	eV per atom
# crystal system	tetragonal

# 10
# CdSeIN2 | Alexandria via LeMat-Bulk | PBE | relaxed
data_CdSeIN2
_space_group_name_H-M_alt 'P 1'
_space_group_IT_number 1
_cell_length_a 4.3642
_cell_length_b 4.3642
_cell_length_c 6.6927
_cell_angle_alpha 90.00
_cell_angle_beta 90.00
_cell_angle_gamma 90.00
loop_
_space_group_symop_operation_xyz
'x,y,z'
loop_
_atom_site_label
_atom_site_type_symbol
_atom_site_fract_x
_atom_site_fract_y
_atom_site_fract_z
Cd1 Cd 0.0000 0.0000 0.0000
Se1 Se 0.5000 0.5000 0.5000
I1 I 0.0000 0.0000 0.5000
N1 N 0.0000 0.5000 0.0000
N2 N 0.5000 0.0000 0.0000
# symmetry	No. 123
# uncorrected formation energy	8.429	eV per formula unit
# energy relative to the lowest polymorph listed for this composition	0.250	eV/atom
# DOS(E_F)	3.34	states/eV per cell
# VASP energy	-2.83	eV per atom
# crystal system	tetragonal

# 11
# CdSeIN2 | Alexandria via LeMat-Bulk | PBE | relaxed
data_CdSeIN2
_space_group_name_H-M_alt 'P 1'
_space_group_IT_number 1
_cell_length_a 4.3898
_cell_length_b 4.3898
_cell_length_c 6.1404
_cell_angle_alpha 90.00
_cell_angle_beta 90.00
_cell_angle_gamma 90.00
loop_
_space_group_symop_operation_xyz
'x,y,z'
loop_
_atom_site_label
_atom_site_type_symbol
_atom_site_fract_x
_atom_site_fract_y
_atom_site_fract_z
Cd1 Cd 0.0000 0.0000 0.0000
Se1 Se 0.0000 0.0000 0.5000
I1 I 0.5000 0.5000 0.5000
N1 N 0.0000 0.5000 0.0000
N2 N 0.5000 0.0000 0.0000
# symmetry	No. 123
# uncorrected formation energy	8.103	eV per formula unit
# energy relative to the lowest polymorph listed for this composition	0.185	eV/atom
# DOS(E_F)	2.74	states/eV per cell
# VASP energy	-2.90	eV per atom
# crystal system	tetragonal

# 12
# CdSeIN2 | Alexandria via LeMat-Bulk | PBE | relaxed
data_CdSeIN2
_space_group_name_H-M_alt 'P 1'
_space_group_IT_number 1
_cell_length_a 3.9959
_cell_length_b 3.9959
_cell_length_c 6.4761
_cell_angle_alpha 90.00
_cell_angle_beta 90.00
_cell_angle_gamma 90.00
loop_
_space_group_symop_operation_xyz
'x,y,z'
loop_
_atom_site_label
_atom_site_type_symbol
_atom_site_fract_x
_atom_site_fract_y
_atom_site_fract_z
Cd1 Cd 0.0000 0.0000 0.0000
Se1 Se 0.5000 0.5000 0.0000
I1 I 0.5000 0.5000 0.5000
N1 N 0.0000 0.5000 0.5000
N2 N 0.5000 0.0000 0.5000
# symmetry	No. 123
# uncorrected formation energy	7.608	eV per formula unit
# energy relative to the lowest polymorph listed for this composition	0.086	eV/atom
# DOS(E_F)	1.04	states/eV per cell
# VASP energy	-3.00	eV per atom
# crystal system	tetragonal

# 13
# CdSeI2N | Alexandria via LeMat-Bulk | PBE | relaxed
data_CdSeI2N
_space_group_name_H-M_alt 'P 1'
_space_group_IT_number 1
_cell_length_a 6.0988
_cell_length_b 6.0988
_cell_length_c 3.7513
_cell_angle_alpha 90.00
_cell_angle_beta 90.00
_cell_angle_gamma 90.00
loop_
_space_group_symop_operation_xyz
'x,y,z'
loop_
_atom_site_label
_atom_site_type_symbol
_atom_site_fract_x
_atom_site_fract_y
_atom_site_fract_z
Cd1 Cd 0.0000 0.0000 0.0000
Se1 Se 0.5000 0.5000 0.5000
I1 I 0.0000 0.5000 0.5000
I2 I 0.5000 0.0000 0.5000
N1 N 0.5000 0.5000 0.0000
# symmetry	No. 123
# uncorrected formation energy	3.469	eV per formula unit
# energy relative to the lowest polymorph listed for this composition	0.000	eV/atom
# DOS(E_F)	2.35	states/eV per cell
# VASP energy	-2.47	eV per atom
# crystal system	tetragonal

# 14
# CdSeIN2 | Alexandria via LeMat-Bulk | PBE | relaxed
data_CdSeIN2
_space_group_name_H-M_alt 'P 1'
_space_group_IT_number 1
_cell_length_a 4.0393
_cell_length_b 4.0393
_cell_length_c 7.6443
_cell_angle_alpha 90.00
_cell_angle_beta 90.00
_cell_angle_gamma 90.00
loop_
_space_group_symop_operation_xyz
'x,y,z'
loop_
_atom_site_label
_atom_site_type_symbol
_atom_site_fract_x
_atom_site_fract_y
_atom_site_fract_z
Cd1 Cd 0.0000 0.0000 0.0000
Se1 Se 0.5000 0.5000 0.5000
I1 I 0.5000 0.5000 0.0000
N1 N 0.0000 0.5000 0.5000
N2 N 0.5000 0.0000 0.5000
# symmetry	No. 123
# uncorrected formation energy	7.178	eV per formula unit
# energy relative to the lowest polymorph listed for this composition	0.000	eV/atom
# DOS(E_F)	2.81	states/eV per cell
# VASP energy	-3.08	eV per atom
# crystal system	tetragonal

# 15
# CdSeI2N | Alexandria via LeMat-Bulk | PBE | relaxed
data_CdSeI2N
_space_group_name_H-M_alt 'P 1'
_space_group_IT_number 1
_cell_length_a 5.9620
_cell_length_b 5.9620
_cell_length_c 4.0808
_cell_angle_alpha 90.00
_cell_angle_beta 90.00
_cell_angle_gamma 90.00
loop_
_space_group_symop_operation_xyz
'x,y,z'
loop_
_atom_site_label
_atom_site_type_symbol
_atom_site_fract_x
_atom_site_fract_y
_atom_site_fract_z
Cd1 Cd 0.0000 0.0000 0.0000
Se1 Se 0.5000 0.5000 0.5000
I1 I 0.0000 0.5000 0.0000
I2 I 0.5000 0.0000 0.0000
N1 N 0.0000 0.0000 0.5000
# symmetry	No. 123
# uncorrected formation energy	5.928	eV per formula unit
# energy relative to the lowest polymorph listed for this composition	0.492	eV/atom
# DOS(E_F)	10.94	states/eV per cell
# VASP energy	-1.98	eV per atom
# crystal system	tetragonal